Entry 1:
Entry from Alexandria: CsVOF4 after structural relaxation (GGA-PBEsol).

Summary:
final energy	-6.209	eV/atom
formation energy (no corrections)	-65.65	kcal/mol of atoms
spin magnetization	0.1	μB/f.u.

Structure (POSCAR):
```
CsVOF4
1.0
5.4958 0.0000 0.0000
0.0000 6.2669 0.0000
0.0000 0.0000 13.8682
Cs V O F
4 4 4 16
direct
0.0092 0.2500 0.1281
0.4908 0.7500 0.6281
0.5092 0.2500 0.3719
0.9908 0.7500 0.8719
0.0256 0.2500 0.6441
0.4744 0.7500 0.1441
0.5256 0.2500 0.8559
0.9744 0.7500 0.3559
0.2336 0.7500 0.0802
0.2664 0.2500 0.5802
0.7336 0.7500 0.4198
0.7664 0.2500 0.9198
0.0221 0.0331 0.3369
0.0221 0.4669 0.3369
0.1563 0.2500 0.7663
0.2045 0.7500 0.4478
0.2955 0.2500 0.9478
0.3437 0.7500 0.2663
0.4779 0.5331 0.8369
0.4779 0.9669 0.8369
0.5221 0.0331 0.1631
0.5221 0.4669 0.1631
0.6563 0.2500 0.7337
0.7045 0.7500 0.0522
0.7955 0.2500 0.5522
0.8437 0.7500 0.2337
0.9779 0.5331 0.6631
0.9779 0.9669 0.6631
```

***

Entry 2:
Entry from Alexandria: Cs3V2O2F7 after structural relaxation (GGA-PBEsol).

Summary:
final energy	-6.110	eV/atom
formation energy (no corrections)	-64.98	kcal/mol of atoms
spin magnetization	2.0	μB/f.u.

Structure (POSCAR):
```
Cs3V2O2F7
1.0
3.1263 -5.4130 0.0000
3.1263 5.4130 0.0000
-0.1407 0.0000 14.8544
Cs V O F
6 4 4 14
direct
0.1659 0.8330 0.4350
0.1664 0.8336 0.7500
0.1670 0.8341 0.0650
0.8330 0.1659 0.9350
0.8336 0.1664 0.2500
0.8341 0.1670 0.5650
0.4734 0.4808 0.3499
0.4808 0.4734 0.8499
0.5192 0.5266 0.1501
0.5266 0.5192 0.6501
0.2178 0.3608 0.4055
0.3608 0.2178 0.9055
0.6392 0.7822 0.0945
0.7822 0.6392 0.5945
0.2035 0.3339 0.0982
0.2285 0.3729 0.7548
0.3339 0.2035 0.5982
0.3385 0.6394 0.5945
0.3606 0.6615 0.9055
0.3706 0.6294 0.2500
0.3729 0.2285 0.2548
0.6271 0.7715 0.7452
0.6294 0.3706 0.7500
0.6394 0.3385 0.0945
0.6615 0.3606 0.4055
0.6661 0.7965 0.4018
0.7715 0.6271 0.2452
0.7965 0.6661 0.9018
```

***

Entry 3:
Entry from Alexandria: CsP3F after structural relaxation (GGA-PBEsol).

Summary:
final energy	-3.388	eV/atom
formation energy (no corrections)	15.24	kcal/mol of atoms
spin magnetization	0.0	μB/f.u.

Structure (POSCAR):
```
CsP3F
1.0
4.6879 0.0000 0.0000
0.0000 4.6879 0.0000
0.0000 0.0000 4.6879
Cs P F
1 3 1
direct
0.0000 0.0000 0.0000
0.0000 0.5000 0.5000
0.5000 0.0000 0.5000
0.5000 0.5000 0.0000
0.5000 0.5000 0.5000
```

***

Entry 4:
Entry from Alexandria: CsP2SF after structural relaxation (GGA-PBEsol).

Summary:
final energy	-3.309	eV/atom
formation energy (no corrections)	10.56	kcal/mol of atoms
spin magnetization	1.0	μB/f.u.

Structure (POSCAR):
```
CsP2SF
1.0
4.4366 0.0000 0.0000
0.0000 4.4366 0.0000
0.0000 0.0000 5.5234
Cs P S F
1 2 1 1
direct
0.0000 0.0000 0.0000
0.0000 0.5000 0.5000
0.5000 0.0000 0.5000
0.5000 0.5000 0.0000
0.5000 0.5000 0.5000
```